Below is crystalline ZnAuBr at its relaxed geometry, with properties calculated at the PBE level.

* formation energy from raw total energies: -4.80 kcal/mol of atoms
* energy: -2.2827 eV per atom
* SG: No. 156
* relative energy among the computed polymorphs: 110 meV/atom

POSCAR file:
```
ZnAuBr
1.0
3.6210 0.0000 0.0000
-1.8105 3.1359 0.0000
0.0000 0.0000 5.8816
Zn Au Br
1 1 1
Direct
0.0000 0.0000 0.0000
0.3333 0.6667 0.2662
0.6667 0.3333 0.7146
```